1.
A relaxed structure of CaHo2Er, computed with PBE-GGA.

Output
Energy of formation from the pure elements in eV/atom: 0.1798
Offset from the most stable computed form in meV per atom: 113

Lattice parameters (Å, degrees): 5.707 5.707 5.707 60.00 60.00 60.00
Atoms (fractional coordinates):
Ca (0.500, 0.500, 0.500)
Er (0.000, 0.000, 0.000)
Ho (0.250, 0.250, 0.250)
Ho (0.750, 0.750, 0.750)

***

2.
A relaxed structure of Zr2TlSi, computed with PBE-GGA.

Output
Energy relative to the elements, uncorrected in meV/atom: -100

Lattice parameters (Å, degrees): 7.619 7.619 6.191 52.02 52.02 90.00
Atoms (fractional coordinates):
Zr (0.375, 0.397, 0.750)
Zr (0.875, 0.853, 0.750)
Zr (0.147, 0.625, 0.250)
Zr (0.603, 0.125, 0.250)
Tl (0.750, 0.250, 0.500)
Tl (0.000, 0.000, 0.000)
Si (0.500, 0.500, 0.000)
Si (0.250, 0.750, 0.500)

***

3.
A relaxed structure of SmBiAu, computed with PBE-GGA.

Output
Energy of formation from the pure elements in eV/atom: 0.0168

Lattice parameters (Å, degrees): 3.276 3.276 8.705 100.84 100.84 90.00
Atoms (fractional coordinates):
Sm (0.777, 0.777, 0.554)
Bi (0.127, 0.127, 0.254)
Au (0.946, 0.946, 0.893)

***

4.
A relaxed structure of SrVAsSe2, computed with PBE-GGA.

Output
Offset from the most stable computed form in meV per atom: 1816
Energy relative to the elements, uncorrected in meV/atom: 1077

Lattice parameters (Å, degrees): 5.591 5.591 5.536 90.00 90.00 90.00
Site moments in Bohr magnetons follow the coordinates.
Atoms (fractional coordinates):
Sr (0.000, 0.000, 0.000)  0.00
V (0.500, 0.500, 0.500)  0.16
Se (0.000, 0.500, 0.000)  -0.08
Se (0.500, 0.000, 0.000)  -0.08
As (0.000, 0.000, 0.500)  0.00

***

5.
A relaxed structure of Li3CuSn, computed with PBE-GGA.

Output
Energy of formation from the pure elements in eV/atom: 0.0738
Offset from the most stable computed form in meV per atom: 204

Lattice parameters (Å, degrees): 4.574 4.574 4.574 90.00 90.00 90.00
Atoms (fractional coordinates):
Li (0.000, 0.500, 0.000)
Li (0.000, 0.000, 0.500)
Li (0.500, 0.000, 0.000)
Cu (0.000, 0.000, 0.000)
Sn (0.500, 0.500, 0.500)

***

6.
A relaxed structure of GeAs2PBr, computed with PBE-GGA.

Output
Offset from the most stable computed form in meV per atom: 0
Energy relative to the elements, uncorrected in meV/atom: 607

Lattice parameters (Å, degrees): 4.730 5.413 4.730 90.00 90.00 90.00
Atoms (fractional coordinates):
P (0.000, 0.000, 0.000)
As (0.000, 0.000, 0.500)
As (0.500, 0.000, 0.000)
Ge (0.000, 0.500, 0.000)
Br (0.500, 0.500, 0.500)

***

no.,uncorrected energy (eV/atom)
1,-3.7502
2,-6.3211
3,-3.9423
4,-3.4070
5,-2.6943
6,-3.5932